# PBE VBIN2, optimized geometry
data_VBIN2
_symmetry_space_group_name_H-M 'P 4/m m m'
_symmetry_Int_Tables_number 123
_symmetry_space_group_name_Hall '-P 4 2'
_cell_length_a 3.4910
_cell_length_b 3.4910
_cell_length_c 6.1706
_cell_angle_alpha 90.00
_cell_angle_beta 90.00
_cell_angle_gamma 90.00
loop_
_atom_site_label
_atom_site_type_symbol
_atom_site_fract_x
_atom_site_fract_y
_atom_site_fract_z
V1 V 0.0000 0.0000 0.0000
B1 B 0.5000 0.5000 0.5000
I1 I 0.5000 0.5000 0.0000
N1 N 0.0000 0.5000 0.5000
# Formation energy without anion corrections = 1684 meV/atom


# PBE Y7Ho2Tm, optimized geometry
data_Y7Ho2Tm
_symmetry_space_group_name_H-M 'C m m m'
_symmetry_Int_Tables_number 65
_symmetry_space_group_name_Hall '-C 2 2'
_cell_length_a 8.7783
_cell_length_b 16.0895
_cell_length_c 5.5712
_cell_angle_alpha 90.00
_cell_angle_beta 90.00
_cell_angle_gamma 90.00
loop_
_atom_site_label
_atom_site_type_symbol
_atom_site_fract_x
_atom_site_fract_y
_atom_site_fract_z
Y1 Y 0.0000 0.0000 0.0000
Y2 Y 0.0000 0.2842 0.5000
Y3 Y 0.1771 0.3864 0.0000
Ho1 Ho 0.0000 0.2039 0.0000
Tm1 Tm 0.0000 0.5000 0.5000
# Energy of formation from the pure elements = 0.701 eV/atom


Number 1: size of the total moment 2.8 μB/cell, total DFT energy (no corrections) -25.58 eV per cell. Number 2: size of the total moment 0.0 μB/cell, total DFT energy (no corrections) -103.72 eV per cell.